## Rb3Pr3DyTe8 (PBE)

Data for a relaxed structure of Rb3Pr3DyTe8.

Results
Energy relative to the elements, uncorrected = -1.3217 eV per atom

Cell lengths 9.1146, 9.1146, 10.2932 Å; angles 116.30, 116.30, 59.96 degrees
Fractional positions:
Rb: 0.0000 0.0000 0.0000
Rb: 0.0000 0.5000 0.0000
Rb: 0.5000 0.0000 0.0000
Pr: 0.0000 0.5000 0.5000
Pr: 0.5000 0.0000 0.5000
Pr: 0.5000 0.5000 0.5000
Dy: 0.0000 0.0000 0.5000
Te: 0.2295 0.2295 0.7011
Te: 0.2295 0.7423 0.7012
Te: 0.2577 0.7705 0.2988
Te: 0.2641 0.2641 0.2923
Te: 0.7359 0.7359 0.7077
Te: 0.7423 0.2295 0.7012
Te: 0.7705 0.2577 0.2988
Te: 0.7705 0.7705 0.2989



## CsZn2Pb2 (PBE)

Data for a relaxed structure of CsZn2Pb2.

Results
Offset from the most stable computed form = 0.00 eV per formula unit
Formation energy = -0.008 eV per atom

Cell lengths 7.1217, 7.1217, 7.1217 Å; angles 138.93, 138.93, 59.48 degrees
Fractional positions:
Cs: 0.0000 0.0000 0.0000
Zn: 0.3921 0.3921 0.0000
Zn: 0.6079 0.6079 0.0000
Pb: 0.2500 0.7500 0.5000
Pb: 0.7500 0.2500 0.5000



## Nd2Mg3Cd (PBE)

Data for a relaxed structure of Nd2Mg3Cd.

Results
Offset from the most stable computed form = 0.00 eV per formula unit
Formation energy = -0.173 eV per atom

Cell lengths 10.4825, 9.6779, 6.2371 Å; angles 79.17, 65.07, 35.76 degrees
Fractional positions:
Nd: 0.2488 0.7512 0.7512
Nd: 0.2500 0.2500 0.2500
Nd: 0.7500 0.7500 0.7500
Nd: 0.7512 0.2488 0.2488
Mg: 0.1641 0.6685 0.3315
Mg: 0.3315 0.8359 0.1641
Mg: 0.3325 0.3325 0.6675
Mg: 0.6675 0.6675 0.3325
Mg: 0.6685 0.1641 0.8359
Mg: 0.8359 0.3315 0.6685
Cd: 0.1666 0.1666 0.8334
Cd: 0.8334 0.8334 0.1666



## SmTlBr4 (PBE)

Data for a relaxed structure of SmTlBr4.

Results
Offset from the most stable computed form = 0.00 eV per formula unit
Energy relative to the elements, uncorrected = -1.5270 eV per atom

Cell lengths 4.3852, 7.1489, 8.4571 Å; angles 78.17, 90.00, 72.23 degrees
Fractional positions:
Sm: 0.0000 0.0000 0.0000
Tl: 0.5000 0.0000 0.5000
Br: 0.1195 0.7594 0.3165
Br: 0.3820 0.2372 0.0934
Br: 0.6180 0.7628 0.9066
Br: 0.8805 0.2406 0.6835



## ThScNiPd (PBE)

Data for a relaxed structure of ThScNiPd.

Results
Offset from the most stable computed form = 0.00 eV per formula unit
Formation energy = -0.631 eV per atom

Cell lengths 4.1800, 5.7028, 5.7028 Å; angles 37.45, 90.00, 90.00 degrees
Fractional positions:
Th: 0.0000 0.0000 0.0000
Sc: 0.5000 0.7211 0.7211
Ni: 0.5000 0.4558 0.4558
Pd: 0.0000 0.2766 0.2766



## CaZr2Ni (PBE)

Data for a relaxed structure of CaZr2Ni.

Results
Offset from the most stable computed form = 0.64 eV per formula unit
Formation energy = 0.081 eV per atom

Cell lengths 3.1154, 3.1154, 9.3732 Å; angles 90.00, 90.00, 90.00 degrees
Fractional positions:
Ca: 0.0000 0.0000 0.0000
Zr: 0.5000 0.5000 0.3208
Zr: 0.5000 0.5000 0.6792
Ni: 0.0000 0.0000 0.5000



## UPaMo4 (PBE)

Data for a relaxed structure of UPaMo4.

Results
Formation energy = 0.194 eV per atom

Cell lengths 5.4484, 5.4484, 5.4484 Å; angles 60.00, 60.00, 60.00 degrees
Fractional positions:
U: 0.0000 0.0000 0.0000
Pa: 0.2500 0.2500 0.2500
Mo: 0.1251 0.6250 0.6250
Mo: 0.6250 0.1251 0.6250
Mo: 0.6250 0.6250 0.1251
Mo: 0.6250 0.6250 0.6250



## MoRh2 (PBE)

Data for a relaxed structure of MoRh2.

Results
Formation energy = -0.087 eV per atom

Cell lengths 7.3699, 7.3699, 4.4467 Å; angles 90.00, 90.00, 158.57 degrees
Fractional positions:
Mo: 0.2161 0.7839 0.7500
Mo: 0.7839 0.2161 0.2500
Rh: 0.1148 0.8852 0.2500
Rh: 0.4440 0.5560 0.2500
Rh: 0.5560 0.4440 0.7500
Rh: 0.8852 0.1148 0.7500



## TeAuSe2 (PBE)

Data for a relaxed structure of TeAuSe2.

Results
Offset from the most stable computed form = 0.26 eV per formula unit
Energy relative to the elements, uncorrected = 0.0941 eV per atom

Cell lengths 6.5386, 12.7611, 6.1798 Å; angles 90.00, 90.00, 90.00 degrees
Fractional positions:
Te: 0.0247 0.1468 0.0000
Te: 0.4753 0.6468 0.5000
Te: 0.5247 0.3532 0.0000
Te: 0.9753 0.8532 0.5000
Au: 0.0934 0.7217 0.9442
Au: 0.4066 0.2217 0.4442
Au: 0.5934 0.7783 0.9442
Au: 0.9066 0.2783 0.4442
Se: 0.0173 0.3423 0.0549
Se: 0.1017 0.1183 0.5819
Se: 0.3983 0.6183 0.0819
Se: 0.4827 0.8423 0.5549
Se: 0.5173 0.1577 0.0549
Se: 0.6017 0.3817 0.5819
Se: 0.8983 0.8817 0.0819
Se: 0.9827 0.6577 0.5549



## CrIrCl2 (PBE)

Data for a relaxed structure of CrIrCl2.

Results
Offset from the most stable computed form = 0.00 eV per formula unit
Energy relative to the elements, uncorrected = -0.1813 eV per atom

Cell lengths 3.4132, 3.4132, 8.7138 Å; angles 92.65, 92.65, 60.00 degrees
Fractional positions:
Cr: 0.0000 0.0000 0.0000
Ir: 0.6550 0.6550 0.8531
Cl: 0.3476 0.3476 0.1803
Cl: 0.6336 0.6336 0.5956



## TlRe2Mo (PBE)

Data for a relaxed structure of TlRe2Mo.

Results
Offset from the most stable computed form = 0.64 eV per formula unit
Formation energy = 0.641 eV per atom

Cell lengths 5.0132, 5.0132, 4.9369 Å; angles 101.50, 101.50, 34.20 degrees
Fractional positions:
Tl: 0.0000 0.0000 0.0000
Re: 0.2348 0.2348 0.7113
Re: 0.7652 0.7652 0.2887
Mo: 0.5000 0.5000 0.5000



## Ac2AlPb (PBE)

Data for a relaxed structure of Ac2AlPb.

Results
Formation energy = -0.326 eV per atom

Cell lengths 4.0513, 4.0513, 8.2316 Å; angles 90.00, 90.00, 90.00 degrees
Fractional positions:
Ac: 0.0000 0.0000 0.2362
Ac: 0.0000 0.0000 0.7638
Al: 0.5000 0.5000 0.0000
Pb: 0.5000 0.5000 0.5000



## Ac6TeIr3S2 (PBE)

Data for a relaxed structure of Ac6TeIr3S2.

Results
Energy relative to the elements, uncorrected = -1.2121 eV per atom

Cell lengths 10.0828, 10.0828, 9.1009 Å; angles 106.37, 106.37, 24.94 degrees
Fractional positions:
Ac: 0.0039 0.0039 0.2228
Ac: 0.3220 0.3220 0.4236
Ac: 0.3356 0.3356 0.9069
Ac: 0.6644 0.6644 0.0931
Ac: 0.6780 0.6780 0.5764
Ac: 0.9961 0.9961 0.7772
Te: 0.5000 0.5000 0.5000
Ir: 0.1660 0.1660 0.3294
Ir: 0.5000 0.5000 0.0000
Ir: 0.8340 0.8340 0.6706
S: 0.1685 0.1685 0.8356
S: 0.8315 0.8315 0.1644



Values for magnetic moment, Bohr magnetons per cell, ordered as above
0.0, 0.0, 0.0, 0.0, 0.0, 0.6, 1.1, 0.0, 0.0, 1.0, 0.0, 0.0, 0.0